Record 1
VASP calculation (GGA-PBE) on a relaxed structure of VInCu3. Values from VASP.

```
&SYSTEM
  ibrav = 0, nat = 5, ntyp = 3
/
ATOMIC_SPECIES
In 114.82 In.upf
Cu 63.55 Cu.upf
V 50.94 V.upf
CELL_PARAMETERS angstrom
4.644 0.000 0.000
0.000 4.644 0.000
0.000 0.000 4.644
ATOMIC_POSITIONS crystal
In 0.500 0.500 0.500
Cu 0.000 0.500 0.000
Cu 0.000 0.000 0.500
Cu 0.500 0.000 0.000
V 0.000 0.000 0.000
```

Properties
Total DFT energy (no corrections)   -3.747 eV per atom

---

Record 2
VASP calculation (GGA-PBE) on a relaxed structure of In2CuW. Values from VASP.

```
&SYSTEM
  ibrav = 0, nat = 4, ntyp = 3
/
ATOMIC_SPECIES
Cu 63.55 Cu.upf
In 114.82 In.upf
W 183.84 W.upf
CELL_PARAMETERS angstrom
5.244 0.001 0.000
2.134 4.790 0.000
-3.689 -2.395 2.855
ATOMIC_POSITIONS crystal
Cu 0.750 0.250 0.500
In 0.000 0.000 0.000
In 0.500 0.500 0.000
W 0.250 0.750 0.500
```

Properties
Total DFT energy (no corrections)   -5.064 eV per atom

---

Record 3
VASP calculation (GGA-PBE) on a relaxed structure of InCuW4. Values from VASP.

```
&SYSTEM
  ibrav = 0, nat = 6, ntyp = 3
/
ATOMIC_SPECIES
In 114.82 In.upf
Cu 63.55 Cu.upf
W 183.84 W.upf
CELL_PARAMETERS angstrom
0.000 3.770 3.770
3.770 0.000 3.770
3.770 3.770 0.000
ATOMIC_POSITIONS crystal
In 0.000 0.000 0.000
Cu 0.250 0.250 0.250
W 0.624 0.624 0.127
W 0.624 0.127 0.624
W 0.624 0.624 0.624
W 0.127 0.624 0.624
```

Properties
Total DFT energy (no corrections)   -9.009 eV per atom

---

Record 4
VASP calculation (GGA-PBE) on a relaxed structure of InCuW. Values from VASP.

```
&SYSTEM
  ibrav = 0, nat = 3, ntyp = 3
/
ATOMIC_SPECIES
Cu 63.55 Cu.upf
In 114.82 In.upf
W 183.84 W.upf
CELL_PARAMETERS angstrom
-1.392 1.233 -2.235
-0.273 -2.853 0.486
-5.451 1.214 4.064
ATOMIC_POSITIONS crystal
Cu 0.000 0.000 0.990
In 0.667 0.333 0.326
W 0.333 0.667 0.684
```

Properties
Total DFT energy (no corrections)   -6.101 eV per atom